# 1
DFT (GGA-PBE) results for a relaxed Er10Tl3Sb3 crystal.

As for the density of states at the Fermi level: 11.59 states/eV/f.u. The energy relative to the elements, uncorrected comes out at -0.61 eV/atom.

The space group is P-62m (No. 189) and the conventional cell measures 8.8770, 8.8770 and 6.4949 Å, with angles of 90.00, 90.00 and 120.00 degrees. Symmetry generates all atoms from Er at (0.0000, 0.2363, 0.0000), Er at (0.0000, 0.7632, 0.5000), Er at (0.3333, 0.6667, 0.2476), Tl at (0.0000, 0.6054, 0.0000) and Sb at (0.0000, 0.3948, 0.5000).

# 2
DFT (GGA-PBE) results for a relaxed BaCdFe crystal.

The calculation puts the energy of formation at 0.58 eV/atom. As for the density of states at the Fermi level: 6.97 states/eV/f.u.

The space group is F-43m (No. 216) and the conventional cell measures 7.1572, 7.1572 and 7.1572 Å, with angles of 90.00, 90.00 and 90.00 degrees. Symmetry generates all atoms from Ba at (0.0000, 0.0000, 0.0000), Cd at (0.0000, 0.0000, 0.5000) and Fe at (0.2500, 0.2500, 0.2500).

# 3
DFT (GGA-PBE) results for a relaxed Tb3Tm3Au4 crystal.

The calculation puts the energy of formation at -0.71 eV/atom. As for the density of states at the Fermi level: 12.91 states/eV/f.u.

The space group is Amm2 (No. 38) and the conventional cell measures 3.7729, 11.6234 and 11.4283 Å, with angles of 90.00, 90.00 and 90.00 degrees. Symmetry generates all atoms from Tb at (0.0000, 0.0000, 0.0000), Tb at (0.0000, 0.1634, 0.3408), Tm at (0.0000, 0.0000, 0.6741), Tm at (0.5000, 0.2498, 0.0899), Au at (0.5000, 0.0000, 0.2054), Au at (0.5000, 0.0000, 0.4754) and Au at (0.5000, 0.1328, 0.8352).

# 4
DFT (GGA-PBE) results for a relaxed PmRuPb2O6 crystal.

As for the density of states at the Fermi level: 2.33 states/eV/f.u. The energy relative to the elements, uncorrected comes out at -1.59 eV/atom.

The space group is R-3 (No. 148, hexagonal axes) and the conventional cell measures 6.0863, 6.0863 and 14.0206 Å, with angles of 90.00, 90.00 and 120.00 degrees. Symmetry generates all atoms from Pm at (0.0000, 0.0000, 0.0000), Ru at (0.0000, 0.0000, 0.5000), Pb at (0.0000, 0.0000, 0.2694) and O at (0.0440, 0.4457, 0.2512).

# 5
DFT (GGA-PBE) results for a relaxed BaRuPt crystal.

The calculation puts the distance to the lowest polymorph of the same formula at 0 meV per atom. The calculation puts the energy of formation at -0.12 eV/atom. As for the density of states at the Fermi level: 2.31 states/eV/f.u.

The space group is C2/m (No. 12) and the conventional cell measures 12.5363, 4.2109 and 6.2436 Å, with angles of 90.00, 111.61 and 90.00 degrees. Symmetry generates all atoms from Ba at (0.1081, 0.0000, 0.2957), Ru at (0.2262, 0.0000, 0.8973) and Pt at (0.0921, 0.5000, 0.7030).

# 6
DFT (GGA-PBE) results for a relaxed BaPtSe3 crystal.

The calculation puts the distance to the lowest polymorph of the same formula at 1829 meV per atom. As for the density of states at the Fermi level: 21.40 states/eV/f.u. The energy relative to the elements, uncorrected comes out at 1.11 eV/atom.

The space group is Pm-3m (No. 221) and the conventional cell measures 6.0202, 6.0202 and 6.0202 Å, with angles of 90.00, 90.00 and 90.00 degrees. Symmetry generates all atoms from Ba at (0.0000, 0.0000, 0.0000), Pt at (0.5000, 0.5000, 0.5000) and Se at (0.0000, 0.0000, 0.5000).

# 7
DFT (GGA-PBE) results for a relaxed Ba8BiSb3Br4 crystal.

The energy relative to the elements, uncorrected comes out at -1.49 eV/atom.

The space group is R-3m (No. 166, hexagonal axes) and the conventional cell measures 10.0862, 10.0862 and 24.0090 Å, with angles of 90.00, 90.00 and 120.00 degrees. Symmetry generates all atoms from Ba at (0.0000, 0.0000, 0.2432), Ba at (0.0031, 0.5015, 0.7562), Bi at (0.0000, 0.0000, 0.5000), Sb at (0.0000, 0.5000, 0.5000), Br at (0.0000, 0.0000, 0.0000) and Br at (0.0000, 0.5000, 0.0000).

# 8
DFT (GGA-PBE) results for a relaxed Sr2PrO crystal.

As for the density of states at the Fermi level: 3.99 states/eV/f.u. The energy relative to the elements, uncorrected comes out at -1.11 eV/atom.

The space group is R-3m (No. 166, hexagonal axes) and the conventional cell measures 3.6943, 3.6943 and 31.0767 Å, with angles of 90.00, 90.00 and 120.00 degrees. Symmetry generates all atoms from Sr at (0.0000, 0.0000, 0.1181), Pr at (0.0000, 0.0000, 0.0000) and O at (0.0000, 0.0000, 0.5000).

# 9
DFT (GGA-PBE) results for a relaxed PrHo3Tm crystal.

The calculation puts the distance to the lowest polymorph of the same formula at 358 meV per atom. The calculation puts the energy of formation at 0.37 eV/atom. As for the density of states at the Fermi level: 6.64 states/eV/f.u.

The space group is P2_1/m (No. 11) and the conventional cell measures 5.6105, 10.8242 and 6.3921 Å, with angles of 90.00, 115.48 and 90.00 degrees. Symmetry generates all atoms from Pr at (0.1409, 0.2500, 0.2851), Ho at (0.1691, 0.7500, 0.3335), Ho at (0.3457, 0.0166, 0.6980) and Tm at (0.4744, 0.7500, 0.9455).

# 10
DFT (GGA-PBE) results for a relaxed As3AuBr crystal.

The calculation puts the distance to the lowest polymorph of the same formula at 0 meV per atom. As for the density of states at the Fermi level: 6.76 states/eV/f.u. The energy relative to the elements, uncorrected comes out at 0.87 eV/atom.

The space group is Pm-3m (No. 221) and the conventional cell measures 5.1348, 5.1348 and 5.1348 Å, with angles of 90.00, 90.00 and 90.00 degrees. Symmetry generates all atoms from As at (0.0000, 0.0000, 0.5000), Au at (0.0000, 0.0000, 0.0000) and Br at (0.5000, 0.5000, 0.5000).

# 11
DFT (GGA-PBE) results for a relaxed SrLuGaCu crystal.

The calculation puts the energy of formation at -0.19 eV/atom. As for the density of states at the Fermi level: 4.90 states/eV/f.u.

The space group is F-43m (No. 216) and the conventional cell measures 7.2642, 7.2642 and 7.2642 Å, with angles of 90.00, 90.00 and 90.00 degrees. Symmetry generates all atoms from Sr at (0.0000, 0.0000, 0.0000), Lu at (0.0000, 0.0000, 0.5000), Ga at (0.2500, 0.2500, 0.7500) and Cu at (0.2500, 0.2500, 0.2500).

# 12
DFT (GGA-PBE) results for a relaxed ThSc2Cd crystal.

The calculation puts the distance to the lowest polymorph of the same formula at 129 meV per atom. The calculation puts the energy of formation at -0.03 eV/atom. As for the density of states at the Fermi level: 6.34 states/eV/f.u.

The space group is P4/mmm (No. 123) and the conventional cell measures 4.7136, 4.7136 and 4.6272 Å, with angles of 90.00, 90.00 and 90.00 degrees. Symmetry generates all atoms from Th at (0.0000, 0.0000, 0.0000), Sc at (0.0000, 0.5000, 0.5000) and Cd at (0.5000, 0.5000, 0.0000).

# 13
DFT (GGA-PBE) results for a relaxed CaNp2Se4 crystal.

The calculation puts the distance to the lowest polymorph of the same formula at 34 meV per atom. As for the density of states at the Fermi level: 18.80 states/eV/f.u. The energy relative to the elements, uncorrected comes out at -1.31 eV/atom.

The space group is Imma (No. 74) and the conventional cell measures 8.3567, 8.3804 and 11.7701 Å, with angles of 90.00, 90.00 and 90.00 degrees. Symmetry generates all atoms from Ca at (0.2500, 0.2500, 0.2500), Np at (0.0000, 0.0000, 0.0000), Np at (0.2500, 0.2500, 0.7500), Se at (0.0000, 0.0046, 0.7509) and Se at (0.2355, 0.2500, 0.9974).

# 14
DFT (GGA-PBE) results for a relaxed Mg2ScZn crystal.

The calculation puts the energy of formation at 0.13 eV/atom. As for the density of states at the Fermi level: 4.10 states/eV/f.u.

The space group is I-42d (No. 122) and the conventional cell measures 7.8922, 7.8922 and 5.7764 Å, with angles of 90.00, 90.00 and 90.00 degrees. Symmetry generates all atoms from Mg at (0.2047, 0.2500, 0.1250), Sc at (0.0000, 0.0000, 0.5000) and Zn at (0.0000, 0.0000, 0.0000).

# 15
DFT (GGA-PBE) results for a relaxed La6AsPt2Se3 crystal.

As for the density of states at the Fermi level: 8.77 states/eV/f.u. The energy relative to the elements, uncorrected comes out at -1.62 eV/atom.

The space group is C2/m (No. 12) and the conventional cell measures 19.0937, 4.2583 and 8.8072 Å, with angles of 90.00, 105.22 and 90.00 degrees. Symmetry generates all atoms from La at (0.0039, 0.0000, 0.2476), La at (0.1664, 0.5000, 0.0981), La at (0.1701, 0.5000, 0.5762), As at (0.0000, 0.5000, 0.0000), Pt at (0.1681, 0.0000, 0.3368), Se at (0.0000, 0.5000, 0.5000) and Se at (0.1624, 0.0000, 0.8380).

# 16
DFT (GGA-PBE) results for a relaxed TaBe2NiMo crystal.

The calculation puts the energy of formation at 1.82 eV/atom. As for the density of states at the Fermi level: 3.64 states/eV/f.u.

The space group is P4/mmm (No. 123) and the conventional cell measures 4.4352, 4.4352 and 4.6183 Å, with angles of 90.00, 90.00 and 90.00 degrees. Symmetry generates all atoms from Ta at (0.0000, 0.0000, 0.0000), Be at (0.0000, 0.5000, 0.0000), Ni at (0.5000, 0.5000, 0.5000) and Mo at (0.0000, 0.0000, 0.5000).

# 17
DFT (GGA-PBE) results for a relaxed AcTbHoCd crystal.

The calculation puts the energy of formation at 0.09 eV/atom. As for the density of states at the Fermi level: 6.66 states/eV/f.u.

The space group is F-43m (No. 216) and the conventional cell measures 7.9417, 7.9417 and 7.9417 Å, with angles of 90.00, 90.00 and 90.00 degrees. Symmetry generates all atoms from Ac at (0.0000, 0.0000, 0.0000), Tb at (0.2500, 0.2500, 0.7500), Ho at (0.2500, 0.2500, 0.2500) and Cd at (0.0000, 0.0000, 0.5000).

# 18
DFT (GGA-PBE) results for a relaxed CaReAu crystal.

The calculation puts the distance to the lowest polymorph of the same formula at 194 meV per atom. The calculation puts the energy of formation at 0.59 eV/atom. As for the density of states at the Fermi level: 1.79 states/eV/f.u.

The space group is P3m1 (No. 156) and the conventional cell measures 2.9450, 2.9450 and 7.4872 Å, with angles of 90.00, 90.00 and 120.00 degrees. Symmetry generates all atoms from Ca at (0.0000, 0.0000, 0.0000), Re at (0.6667, 0.3333, 0.3371) and Au at (0.3333, 0.6667, 0.6532).

# 19
DFT (GGA-PBE) results for a relaxed Nb2SnRu crystal.

The calculation puts the energy of formation at 0.42 eV/atom. As for the density of states at the Fermi level: 4.59 states/eV/f.u.

The space group is I-42d (No. 122) and the conventional cell measures 3.9112, 3.9112 and 19.9324 Å, with angles of 90.00, 90.00 and 90.00 degrees. Symmetry generates all atoms from Nb at (0.2451, 0.2500, 0.1250), Sn at (0.0000, 0.0000, 0.0000) and Ru at (0.0000, 0.0000, 0.5000).

# 20
DFT (GGA-PBE) results for a relaxed TaAl5 crystal.

The calculation puts the distance to the lowest polymorph of the same formula at 162 meV per atom. The calculation puts the energy of formation at -0.01 eV/atom. As for the density of states at the Fermi level: 4.98 states/eV/f.u.

The space group is P-62m (No. 189) and the conventional cell measures 5.0765, 5.0765 and 4.4221 Å, with angles of 90.00, 90.00 and 120.00 degrees. Symmetry generates all atoms from Ta at (0.0000, 0.0000, 0.0000), Al at (0.0000, 0.6686, 0.5000) and Al at (0.3333, 0.6667, 0.0000).